1.
DFT (GGA-PBE) results for a geometry-optimized BaPuHgBi structure.

Cell lengths 5.759, 5.759, 5.759 Å; angles 60.00, 60.00, 60.00 degrees
Sites, in units of the cell vectors:
Ba1 0.000 0.000 0.000
Pu1 0.500 0.500 0.500
Hg1 0.750 0.750 0.750
Bi1 0.250 0.250 0.250

Properties
E_tot, Ry/atom: -0.4027
DOS(E_F), states/eV/atom: 3.789
ΔH_f (0 K), eV/atom: -0.369

2.
DFT (GGA-PBE) results for a geometry-optimized RbBaHg2Bi2 structure.

Cell lengths 5.251, 5.251, 9.878 Å; angles 90.00, 90.00, 120.00 degrees
Sites, in units of the cell vectors:
Rb1 0.000 0.000 0.000
Ba1 0.000 0.000 0.500
Hg1 0.333 0.667 0.704
Hg2 0.667 0.333 0.296
Bi1 0.333 0.667 0.267
Bi2 0.667 0.333 0.733

Properties
E_tot, Ry/atom: -0.1723
DOS(E_F), states/eV/atom: 0.224
ΔH_f (0 K), eV/atom: -0.468

3.
DFT (GGA-PBE) results for a geometry-optimized RbBaHg4Bi2 structure.

Cell lengths 4.811, 4.811, 13.560 Å; angles 90.00, 90.00, 90.00 degrees
Sites, in units of the cell vectors:
Rb1 0.000 0.000 0.000
Ba1 0.000 0.000 0.500
Hg1 0.000 0.500 0.208
Hg2 0.000 0.500 0.792
Hg3 0.500 0.000 0.208
Hg4 0.500 0.000 0.792
Bi1 0.500 0.500 0.389
Bi2 0.500 0.500 0.611

Properties
E_tot, Ry/atom: -0.1302
DOS(E_F), states/eV/atom: 0.658
ΔH_f (0 K), eV/atom: -0.289

4.
DFT (GGA-PBE) results for a geometry-optimized BaHgBi2Rh structure.

Cell lengths 5.440, 5.440, 5.353 Å; angles 90.00, 90.00, 90.00 degrees
Sites, in units of the cell vectors:
Ba1 0.000 0.000 0.000
Hg1 0.500 0.500 0.000
Bi1 0.000 0.500 0.500
Bi2 0.500 0.000 0.500
Rh1 0.500 0.500 0.500

Properties
E_tot, Ry/atom: -0.2734
DOS(E_F), states/eV/atom: 1.169
ΔH_f (0 K), eV/atom: -0.253

5.
DFT (GGA-PBE) results for a geometry-optimized Ba2HgBi6Rh structure.

Cell lengths 18.875, 18.875, 18.875 Å; angles 20.73, 20.73, 20.73 degrees
Sites, in units of the cell vectors:
Ba1 0.098 0.098 0.098
Ba2 0.318 0.318 0.318
Ba3 0.682 0.682 0.682
Ba4 0.902 0.902 0.902
Hg1 0.423 0.423 0.423
Hg2 0.577 0.577 0.577
Bi1 0.115 0.645 0.645
Bi2 0.202 0.202 0.714
Bi3 0.202 0.714 0.202
Bi4 0.286 0.798 0.798
Bi5 0.355 0.355 0.885
Bi6 0.355 0.885 0.355
Bi7 0.645 0.115 0.645
Bi8 0.645 0.645 0.115
Bi9 0.714 0.202 0.202
Bi10 0.798 0.286 0.798
Bi11 0.798 0.798 0.286
Bi12 0.885 0.355 0.355
Rh1 0.000 0.000 0.000
Rh2 0.500 0.500 0.500

Properties
E_tot, Ry/atom: -0.2804
DOS(E_F), states/eV/atom: 0.626
ΔH_f (0 K), eV/atom: -0.336

6.
DFT (GGA-PBE) results for a geometry-optimized Ba2HgBiRh structure.

Cell lengths 6.105, 6.105, 5.189 Å; angles 90.00, 90.00, 90.00 degrees
Sites, in units of the cell vectors:
Ba1 0.000 0.500 0.000
Ba2 0.500 0.000 0.000
Hg1 0.000 0.000 0.500
Bi1 0.500 0.500 0.500
Rh1 0.500 0.500 0.000

Properties
E_tot, Ry/atom: -0.2579
DOS(E_F), states/eV/atom: 0.746
ΔH_f (0 K), eV/atom: -0.433

Number 1: mass density 9723 kg/m³. Number 2: mass density 7335 kg/m³. Number 3: mass density 7635 kg/m³. Number 4: mass density 9002 kg/m³. Number 5: mass density 8247 kg/m³. Number 6: mass density 6759 kg/m³.